# TmU, relaxed, DFT PBE
data_TmU
_chemical_formula_sum 'Tm4 U4'
_symmetry_space_group_name_H-M 'F -4 3 m'
_symmetry_Int_Tables_number 216
_symmetry_space_group_name_Hall 'F -4 2 3'
_cell_length_a 6.1779
_cell_length_b 6.1779
_cell_length_c 6.1779
_cell_angle_alpha 90.00
_cell_angle_beta 90.00
_cell_angle_gamma 90.00
loop_
_atom_site_label
_atom_site_type_symbol
_atom_site_fract_x
_atom_site_fract_y
_atom_site_fract_z
Tm1 Tm 0.0000 0.0000 0.0000
U1 U 0.2500 0.2500 0.7500
# **E_form**: 2.63 eV per atom
# **E_tot**: -5.257 eV/atom
# **Energy relative to the lowest polymorph listed for this composition**: 2214 meV per atom
# **Calculated volume**: 236 Å³/cell
# **Total magnetic moment**: 2.174 μB per formula unit

=====

# RbTbTeO, relaxed, DFT PBE
data_RbTbTeO
_chemical_formula_sum 'Rb4 Tb4 Te4 O4'
_symmetry_space_group_name_H-M 'P 1 21/c 1'
_symmetry_Int_Tables_number 14
_symmetry_space_group_name_Hall '-P 2ybc'
_cell_length_a 9.1656
_cell_length_b 7.4987
_cell_length_c 6.7347
_cell_angle_alpha 90.00
_cell_angle_beta 97.40
_cell_angle_gamma 90.00
loop_
_atom_site_label
_atom_site_type_symbol
_atom_site_fract_x
_atom_site_fract_y
_atom_site_fract_z
Rb1 Rb 0.1276 0.1005 0.3418
Tb1 Tb 0.4912 0.6362 0.7920
Te1 Te 0.2511 0.5770 0.3850
O1 O 0.4300 0.1408 0.3877
# **E_tot**: -5.536 eV/atom
# **Energy relative to the lowest polymorph listed for this composition**: 0 meV per atom
# **Calculated volume**: 459 Å³/cell
# **Total magnetic moment**: 0.000 μB per formula unit